Crystalline SrAlFe2 at its relaxed geometry, computed with PBE.

Structure (POSCAR):
```
SrAlFe2
1.0
7.2533 0.0000 0.0000
0.0000 4.1858 0.0000
-2.4033 0.0000 5.4934
Sr Al Fe
2 2 4
direct
0.0000 0.0000 0.0000
0.5000 0.5000 0.0000
0.0000 0.5000 0.5000
0.5000 0.0000 0.5000
0.1794 0.0000 0.5383
0.3206 0.5000 0.4617
0.6794 0.5000 0.5383
0.8206 0.0000 0.4617
```

Properties
E_form: 93 meV/atom

***

Crystalline La2Nd4Dy2Ho at its relaxed geometry, computed with PBE.

Structure (POSCAR):
```
La2Nd4Dy2Ho
1.0
9.5369 -1.8438 0.0000
9.5369 1.8438 0.0000
-4.2336 0.0000 8.8060
La Nd Dy Ho
2 4 2 1
direct
0.1654 0.1654 0.4981
0.8346 0.8346 0.5019
0.0185 0.0185 0.8349
0.3142 0.3142 0.1661
0.6858 0.6858 0.8339
0.9815 0.9815 0.1651
0.3521 0.3521 0.8339
0.6479 0.6479 0.1661
0.5000 0.5000 0.5000
```

Properties
E_form: 8 meV/atom

***

Crystalline Na3VBi2Se6 at its relaxed geometry, computed with PBE.

Structure (POSCAR):
```
Na3VBi2Se6
1.0
3.5611 -6.1766 0.0000
3.5611 6.1766 0.0000
-2.4139 0.0000 6.9742
Na V Bi Se
3 1 2 6
direct
0.0000 0.0000 0.0000
0.3235 0.6765 0.0000
0.6765 0.3235 0.0000
0.5000 0.5000 0.5000
0.1651 0.8349 0.5000
0.8349 0.1651 0.5000
0.1245 0.4256 0.2771
0.2762 0.2762 0.7227
0.4256 0.1245 0.2771
0.5744 0.8755 0.7229
0.7238 0.7238 0.2773
0.8755 0.5744 0.7229
```

Properties
Formation energy from raw total energies: -0.754 eV per atom

***

Crystalline ReTcBr2 at its relaxed geometry, computed with PBE.

Structure (POSCAR):
```
ReTcBr2
1.0
3.0536 0.0000 0.0000
-1.5268 2.6445 0.0000
0.0000 0.0000 24.9285
Re Tc Br
3 3 6
direct
0.0000 0.0000 0.0000
0.3333 0.6667 0.6667
0.6667 0.3333 0.3333
0.0000 0.0000 0.5000
0.3333 0.6667 0.1667
0.6667 0.3333 0.8333
0.0000 0.0000 0.2487
0.0000 0.0000 0.7513
0.3333 0.6667 0.4180
0.3333 0.6667 0.9154
0.6667 0.3333 0.0846
0.6667 0.3333 0.5820
```

Properties
Distance to the lowest polymorph of the same formula: 947 meV/atom
Formation energy from raw total energies: 1.143 eV per atom

***

no.,density of states at the Fermi level (states/eV per atom)
1,1.407
2,1.392
3,0.512
4,1.303